Record 1
Mn2AsSe4 PBE-GGA relaxed; calculated density = 5.6 g cm⁻³; raw formation energy = -121.5 meV per atom; DOS at the Fermi energy = 5.643 states/eV/cell; crystal system = tetragonal; electronic total energy = -5.3967 eV per atom
1.0
6.3775 0.0000 -2.7593
-1.1938 6.2648 -2.7593
-0.3710 -0.4484 7.8923
Mn As Se
4 2 8
Cartesian
1.9641 0.4468 4.5396
1.3672 3.5792 3.1599
1.5527 3.8034 -0.7862
4.7414 3.8034 -2.1658
4.2992 1.3420 1.1869
0.0000 0.0000 0.0000
2.0489 -0.1502 2.1395
3.4081 5.3463 -3.4688
2.8897 3.8318 1.2960
4.1223 1.4677 4.1450
4.9895 5.6906 -0.5844
-0.1554 3.3265 5.0238
-0.3028 2.2605 1.8964
2.2503 1.4922 -0.9526

Record 2
HoTm3S4 PBE-GGA relaxed; calculated density = 8.2 g cm⁻³; raw formation energy = -1927.3 meV per atom; DOS at the Fermi energy = 4.560 states/eV/cell; offset from the most stable computed form = 10.5 meV/atom; crystal system = cubic; electronic total energy = -6.2400 eV per atom
1.0
5.4485 0.0000 0.0000
0.0000 5.4485 0.0000
0.0000 0.0000 5.4485
Ho Tm S
1 3 4
Cartesian
0.0000 0.0000 0.0000
0.0000 2.7242 2.7242
2.7242 0.0000 2.7242
2.7242 2.7242 0.0000
2.7242 0.0000 0.0000
0.0000 2.7242 0.0000
0.0000 0.0000 2.7242
2.7242 2.7242 2.7242

Record 3
Be3Cu4 PBE-GGA relaxed; calculated density = 6.6 g cm⁻³; DOS at the Fermi energy = 1.675 states/eV/cell; E_form = -0.06 eV per atom; offset from the most stable computed form = 0.0 meV/atom; crystal system = tetragonal; electronic total energy = -3.9957 eV per atom
1.0
10.2427 0.0129 0.0000
9.5514 3.6992 0.0000
-9.8971 -1.8560 1.8753
Be Cu
3 4
Cartesian
0.0000 0.0000 0.0000
14.2697 2.6761 0.0000
5.5244 1.0360 0.0000
16.7285 3.1372 0.0000
3.0656 0.5749 0.0000
11.2251 2.1051 0.0000
8.5690 1.6070 0.0000

Record 4
Tb3NiTe PBE-GGA relaxed; calculated density = 8.5 g cm⁻³; raw formation energy = -632.6 meV per atom; DOS at the Fermi energy = 8.794 states/eV/cell; offset from the most stable computed form = 82.6 meV/atom; crystal system = monoclinic; electronic total energy = -5.1953 eV per atom
1.0
-2.1726 -0.7548 3.2047
5.8969 -2.4579 0.9911
1.5113 10.2514 3.4392
Tb Ni Te
6 2 2
Cartesian
0.9272 3.5423 1.4629
4.3084 3.4965 6.1721
3.9864 -1.0716 2.4502
1.2492 8.1103 5.1848
3.3102 5.4252 3.5219
1.9255 1.6135 4.1131
0.7089 4.8301 4.0459
4.5267 2.2086 3.5890
3.8117 6.5642 6.5579
1.4239 0.4745 1.0771

Record 5
CdHg PBE-GGA relaxed; calculated density = 10.8 g cm⁻³; DOS at the Fermi energy = 0.975 states/eV/cell; E_form = 0.02 eV per atom; crystal system = monoclinic; electronic total energy = -0.5883 eV per atom
1.0
6.6263 0.1978 -0.3622
5.7801 3.2462 -0.3622
-10.2391 -2.8424 7.7055
Cd Hg
3 3
Cartesian
2.3993 0.6660 6.5544
-6.1994 -1.7209 5.9549
5.0758 1.4090 1.5974
-2.3835 -0.6616 4.4542
1.2110 0.3362 3.1516
8.8275 2.4505 0.2738

Record 6
Tl2CdBr PBE-GGA relaxed; calculated density = 7.7 g cm⁻³; raw formation energy = -256.5 meV per atom; DOS at the Fermi energy = 0.780 states/eV/cell; offset from the most stable computed form = 38.7 meV/atom; crystal system = trigonal; electronic total energy = -2.0866 eV per atom
1.0
3.9440 0.0000 0.0000
1.9720 3.4156 0.0000
1.9720 1.1385 9.5718
Tl Cd Br
2 1 1
Cartesian
1.9720 1.1385 7.1069
1.9720 1.1385 2.4402
5.9160 3.4156 9.5666
3.9440 2.2771 4.8158